# 1
# Y5Cd4 GGA-PBEsol optimized geometry
# Uncorrected energy   -41.28 eV per formula unit
# Energy of formation from the pure elements   -264.8 meV/atom
# Calculated volume   470 Å³/cell
data_Y5Cd4
_chemical_formula_sum 'Y10 Cd8'
_cell_length_a 9.1088
_cell_length_b 9.1088
_cell_length_c 6.5386
_cell_angle_alpha 90.00
_cell_angle_beta 90.00
_cell_angle_gamma 120.00
_symmetry_space_group_name_H-M 'P 63/m c m'
_symmetry_Int_Tables_number 193
_symmetry_space_group_name_Hall '-P 6c 2'
loop_
_atom_site_label
_atom_site_type_symbol
_atom_site_fract_x
_atom_site_fract_y
_atom_site_fract_z
Y1 Y 0.0000 0.2974 0.2500
Y2 Y 0.3333 0.6667 0.0000
Cd1 Cd 0.0000 0.0000 0.0000
Cd2 Cd 0.0000 0.3682 0.7500

---

# 2
# YCd3 GGA-PBEsol optimized geometry
# Uncorrected energy   -11.30 eV per formula unit
# Energy of formation from the pure elements   -222.5 meV/atom
# Calculated volume   92 Å³/cell
data_YCd3
_chemical_formula_sum 'Y1 Cd3'
_cell_length_a 3.2227
_cell_length_b 4.8417
_cell_length_c 5.9432
_cell_angle_alpha 90.00
_cell_angle_beta 96.96
_cell_angle_gamma 90.00
_symmetry_space_group_name_H-M 'P 1 2/m 1'
_symmetry_Int_Tables_number 10
_symmetry_space_group_name_Hall '-P 2y'
loop_
_atom_site_label
_atom_site_type_symbol
_atom_site_fract_x
_atom_site_fract_y
_atom_site_fract_z
Y1 Y 0.0000 0.0000 0.0000
Cd1 Cd 0.4253 0.5000 0.7499
Cd2 Cd 0.5000 0.0000 0.5000

---

# 3
# Y3Cd GGA-PBEsol optimized geometry
# ΔE to the lowest computed polymorph   23 meV per atom
# Uncorrected energy   -22.27 eV per formula unit
# Energy of formation from the pure elements   -152.6 meV/atom
# Calculated volume   443 Å³/cell
data_Y3Cd
_chemical_formula_sum 'Y12 Cd4'
_cell_length_a 6.8733
_cell_length_b 9.4600
_cell_length_c 6.8175
_cell_angle_alpha 90.00
_cell_angle_beta 90.00
_cell_angle_gamma 90.00
_symmetry_space_group_name_H-M 'I m m a'
_symmetry_Int_Tables_number 74
_symmetry_space_group_name_Hall '-I 2b 2'
loop_
_atom_site_label
_atom_site_type_symbol
_atom_site_fract_x
_atom_site_fract_y
_atom_site_fract_z
Y1 Y 0.0000 0.2500 0.0694
Y2 Y 0.2500 0.0353 0.7500
Cd1 Cd 0.0000 0.2500 0.5031

---

# 4
# YCd7 GGA-PBEsol optimized geometry
# Uncorrected energy   -15.81 eV per formula unit
# Energy of formation from the pure elements   -75.8 meV/atom
# Calculated volume   712 Å³/cell
data_YCd7
_chemical_formula_sum 'Y4 Cd28'
_cell_length_a 8.9306
_cell_length_b 8.9306
_cell_length_c 8.9306
_cell_angle_alpha 90.00
_cell_angle_beta 90.00
_cell_angle_gamma 90.00
_symmetry_space_group_name_H-M 'F m -3 m'
_symmetry_Int_Tables_number 225
_symmetry_space_group_name_Hall '-F 4 2 3'
loop_
_atom_site_label
_atom_site_type_symbol
_atom_site_fract_x
_atom_site_fract_y
_atom_site_fract_z
Y1 Y 0.0000 0.0000 0.0000
Cd1 Cd 0.0000 0.0000 0.5000
Cd2 Cd 0.0000 0.2500 0.2500

---

# 5
# Y4Cd GGA-PBEsol optimized geometry
# Uncorrected energy   -26.71 eV per formula unit
# Energy of formation from the pure elements   354.8 meV/atom
# Calculated volume   308 Å³/cell
data_Y4Cd
_chemical_formula_sum 'Y8 Cd2'
_cell_length_a 4.1989
_cell_length_b 4.1989
_cell_length_c 17.4795
_cell_angle_alpha 90.00
_cell_angle_beta 90.00
_cell_angle_gamma 90.00
_symmetry_space_group_name_H-M 'I 4/m m m'
_symmetry_Int_Tables_number 139
_symmetry_space_group_name_Hall '-I 4 2'
loop_
_atom_site_label
_atom_site_type_symbol
_atom_site_fract_x
_atom_site_fract_y
_atom_site_fract_z
Y1 Y 0.0000 0.0000 0.0893
Y2 Y 0.0000 0.5000 0.2500
Cd1 Cd 0.0000 0.0000 0.5000

---

# 6
# Y3Cd GGA-PBEsol optimized geometry
# ΔE to the lowest computed polymorph   63 meV per atom
# Uncorrected energy   -22.11 eV per formula unit
# Energy of formation from the pure elements   -112.6 meV/atom
# Calculated volume   219 Å³/cell
data_Y3Cd
_chemical_formula_sum 'Y6 Cd2'
_cell_length_a 5.3503
_cell_length_b 6.7278
_cell_length_c 6.0711
_cell_angle_alpha 90.00
_cell_angle_beta 90.00
_cell_angle_gamma 90.00
_symmetry_space_group_name_H-M 'P m m n'
_symmetry_Int_Tables_number 59
loop_
_symmetry_equiv_pos_as_xyz
'x,y,z'
'-x,-y,-z'
'-x+1/2,-y+1/2,z'
'x+1/2,y+1/2,-z'
'x+1/2,-y,-z'
'-x+1/2,y,z'
'-x,y+1/2,-z'
'x,-y+1/2,z'
loop_
_atom_site_label
_atom_site_type_symbol
_atom_site_fract_x
_atom_site_fract_y
_atom_site_fract_z
Y1 Y 0.2500 0.0064 0.1582
Y2 Y 0.2500 0.2500 0.6314
Cd1 Cd 0.2500 0.7500 0.6669

---

# 7
# Y3Cd GGA-PBEsol optimized geometry
# ΔE to the lowest computed polymorph   6 meV per atom
# Uncorrected energy   -22.34 eV per formula unit
# Energy of formation from the pure elements   -169.3 meV/atom
# Calculated volume   112 Å³/cell
data_Y3Cd
_chemical_formula_sum 'Y3 Cd1'
_cell_length_a 3.5666
_cell_length_b 3.5666
_cell_length_c 8.8008
_cell_angle_alpha 90.00
_cell_angle_beta 90.00
_cell_angle_gamma 90.00
_symmetry_space_group_name_H-M 'P 4/m m m'
_symmetry_Int_Tables_number 123
_symmetry_space_group_name_Hall '-P 4 2'
loop_
_atom_site_label
_atom_site_type_symbol
_atom_site_fract_x
_atom_site_fract_y
_atom_site_fract_z
Y1 Y 0.0000 0.0000 0.0000
Y2 Y 0.5000 0.5000 0.2770
Cd1 Cd 0.0000 0.0000 0.5000

---

# 8
# Y3Cd GGA-PBEsol optimized geometry
# ΔE to the lowest computed polymorph   57 meV per atom
# Uncorrected energy   -22.14 eV per formula unit
# Energy of formation from the pure elements   -118.6 meV/atom
# Calculated volume   109 Å³/cell
data_Y3Cd
_chemical_formula_sum 'Y3 Cd1'
_cell_length_a 4.7739
_cell_length_b 4.7739
_cell_length_c 4.7739
_cell_angle_alpha 90.00
_cell_angle_beta 90.00
_cell_angle_gamma 90.00
_symmetry_space_group_name_H-M 'P m -3 m'
_symmetry_Int_Tables_number 221
_symmetry_space_group_name_Hall '-P 4 2 3'
loop_
_atom_site_label
_atom_site_type_symbol
_atom_site_fract_x
_atom_site_fract_y
_atom_site_fract_z
Y1 Y 0.0000 0.0000 0.5000
Cd1 Cd 0.5000 0.5000 0.5000

---

# 9
# YCd3 GGA-PBEsol optimized geometry
# Uncorrected energy   -11.54 eV per formula unit
# Energy of formation from the pure elements   -281.2 meV/atom
# Calculated volume   357 Å³/cell
data_YCd3
_chemical_formula_sum 'Y4 Cd12'
_cell_length_a 4.6746
_cell_length_b 4.6746
_cell_length_c 16.3545
_cell_angle_alpha 90.00
_cell_angle_beta 90.00
_cell_angle_gamma 90.00
_symmetry_space_group_name_H-M 'I 4/m m m'
_symmetry_Int_Tables_number 139
_symmetry_space_group_name_Hall '-I 4 2'
loop_
_atom_site_label
_atom_site_type_symbol
_atom_site_fract_x
_atom_site_fract_y
_atom_site_fract_z
Y1 Y 0.0000 0.0000 0.1299
Cd1 Cd 0.0000 0.0000 0.3704
Cd2 Cd 0.0000 0.5000 0.0000
Cd3 Cd 0.0000 0.5000 0.2500

---

# 10
# YCd3 GGA-PBEsol optimized geometry
# Uncorrected energy   -11.70 eV per formula unit
# Energy of formation from the pure elements   -321.6 meV/atom
# Calculated volume   348 Å³/cell
data_YCd3
_chemical_formula_sum 'Y4 Cd12'
_cell_length_a 7.0371
_cell_length_b 7.0371
_cell_length_c 7.0371
_cell_angle_alpha 90.00
_cell_angle_beta 90.00
_cell_angle_gamma 90.00
_symmetry_space_group_name_H-M 'F m -3 m'
_symmetry_Int_Tables_number 225
_symmetry_space_group_name_Hall '-F 4 2 3'
loop_
_atom_site_label
_atom_site_type_symbol
_atom_site_fract_x
_atom_site_fract_y
_atom_site_fract_z
Y1 Y 0.0000 0.0000 0.0000
Cd1 Cd 0.0000 0.0000 0.5000
Cd2 Cd 0.2500 0.2500 0.2500

---

# 11
# Y3Cd GGA-PBEsol optimized geometry
# ΔE to the lowest computed polymorph   43 meV per atom
# Uncorrected energy   -22.19 eV per formula unit
# Energy of formation from the pure elements   -132.9 meV/atom
# Calculated volume   218 Å³/cell
data_Y3Cd
_chemical_formula_sum 'Y6 Cd2'
_cell_length_a 6.8424
_cell_length_b 6.8424
_cell_length_c 5.3889
_cell_angle_alpha 90.00
_cell_angle_beta 90.00
_cell_angle_gamma 120.00
_symmetry_space_group_name_H-M 'P 63/m m c'
_symmetry_Int_Tables_number 194
_symmetry_space_group_name_Hall '-P 6c 2c'
loop_
_atom_site_label
_atom_site_type_symbol
_atom_site_fract_x
_atom_site_fract_y
_atom_site_fract_z
Y1 Y 0.1723 0.3445 0.2500
Cd1 Cd 0.3333 0.6667 0.7500

---

# 12
# Y4Cd5 GGA-PBEsol optimized geometry
# Uncorrected energy   -35.77 eV per formula unit
# Energy of formation from the pure elements   -277.4 meV/atom
# Calculated volume   446 Å³/cell
data_Y4Cd5
_chemical_formula_sum 'Y8 Cd10'
_cell_length_a 9.0226
_cell_length_b 9.0226
_cell_length_c 6.3327
_cell_angle_alpha 90.00
_cell_angle_beta 90.00
_cell_angle_gamma 120.00
_symmetry_space_group_name_H-M 'P 63/m c m'
_symmetry_Int_Tables_number 193
_symmetry_space_group_name_Hall '-P 6c 2'
loop_
_atom_site_label
_atom_site_type_symbol
_atom_site_fract_x
_atom_site_fract_y
_atom_site_fract_z
Y1 Y 0.0000 0.0000 0.0000
Y2 Y 0.0000 0.3602 0.2500
Cd1 Cd 0.0000 0.3094 0.7500
Cd2 Cd 0.3333 0.6667 0.0000

---

The lowest calculated volume belongs to which entry?
number 2

---

Number 1 is which compound?
Y5Cd4